[1]
Entry from the Alexandria database: an optimized crystal structure of PuThCSe (PBE).

Results
Raw formation energy: -0.830 eV/atom

Cell lengths 7.3215, 7.3215, 7.3215 Å; angles 30.39, 30.39, 30.39 degrees
Last column: nearest neighbours and their distance in Å.
Fractional positions:
Pu1 0.0000 0.0000 0.0000  3 C 2.68
Th1 0.2009 0.2009 0.2009  3 C 2.55
C1 0.5946 0.5946 0.5946  3 Th 2.55, 3 Pu 2.68
Se1 0.7653 0.7653 0.7653  3 Pu 3.03, 3 Th 3.08

***

[2]
Entry from the Alexandria database: an optimized crystal structure of PuSiC (PBE).

Results
ΔE to the lowest computed polymorph: 273.6 meV per atom
Raw formation energy: 0.313 eV/atom

Cell lengths 6.1118, 3.2646, 8.0871 Å; angles 90.00, 90.00, 90.00 degrees
Last column: nearest neighbours and their distance in Å.
Fractional positions:
Pu1 0.0718 0.2500 0.0921  2 Pu 2.38, 3 C 2.45-2.65
Pu2 0.4282 0.7500 0.5921  2 Pu 2.38, 3 C 2.45-2.65
Pu3 0.5718 0.2500 0.4079  2 Pu 2.38, 3 C 2.45-2.65
Pu4 0.9282 0.7500 0.9079  2 Pu 2.38, 3 C 2.45-2.65
Si1 0.0173 0.7500 0.3725  3 C 1.92-2.03
Si2 0.4827 0.2500 0.8725  3 C 1.92-2.03
Si3 0.5173 0.7500 0.1275  3 C 1.92-2.03
Si4 0.9827 0.2500 0.6275  3 C 1.92-2.03
C1 0.1712 0.2500 0.4214  3 Si 1.92-2.03
C2 0.3288 0.7500 0.9214  3 Si 1.92-2.03
C3 0.6712 0.2500 0.0786  3 Si 1.92-2.03
C4 0.8288 0.7500 0.5786  3 Si 1.92-2.03

***

[3]
Entry from the Alexandria database: an optimized crystal structure of PuSiC2 (PBE).

Results
Raw formation energy: 0.577 eV/atom

Cell lengths 5.9359, 5.9359, 5.9359 Å; angles 36.80, 36.80, 36.80 degrees
Last column: nearest neighbours and their distance in Å.
Fractional positions:
Pu1 0.0000 0.0000 0.0000  6 C 2.40
Si1 0.5000 0.5000 0.5000  2 C 1.73
C1 0.3954 0.3954 0.3954  1 Si 1.73
C2 0.6046 0.6046 0.6046  1 Si 1.73

***

[4]
Entry from the Alexandria database: an optimized crystal structure of PuSiC (PBE).

Results
ΔE to the lowest computed polymorph: 0.0 meV per atom
Raw formation energy: 0.040 eV/atom

Cell lengths 3.3483, 3.3483, 4.3311 Å; angles 90.00, 90.00, 120.00 degrees
Last column: nearest neighbours and their distance in Å.
Fractional positions:
Pu1 0.0000 0.0000 0.0000  6 Si 2.90, 6 C 2.90
Si1 0.6667 0.3333 0.5000  3 C 1.93
C1 0.3333 0.6667 0.5000  3 Si 1.93

***

[5]
Entry from the Alexandria database: an optimized crystal structure of PuTa2SiC4 (PBE).

Results
Raw formation energy: -0.230 eV/atom

Cell lengths 5.7096, 5.7096, 11.0174 Å; angles 90.00, 90.00, 147.39 degrees
Last column: nearest neighbours and their distance in Å.
Fractional positions:
Pu1 0.1032 0.8968 0.7500  6 C 2.50-2.61
Pu2 0.8968 0.1032 0.2500  6 C 2.50-2.61
Ta1 0.3697 0.6303 0.5410  3 C 2.08-2.19
Ta2 0.3697 0.6303 0.9590  3 C 2.08-2.19
Ta3 0.6303 0.3697 0.0410  3 C 2.08-2.19
Ta4 0.6303 0.3697 0.4590  3 C 2.08-2.19
Si1 0.1640 0.8360 0.2500  4 C 1.84-1.90
Si2 0.8360 0.1640 0.7500  4 C 1.84-1.90
C1 0.0000 0.0000 0.0000  4 Ta 2.19
C2 0.0000 0.0000 0.5000  4 Ta 2.19
C3 0.2653 0.7347 0.1170  1 Si 1.84
C4 0.2653 0.7347 0.3830  1 Si 1.84
C5 0.4285 0.5715 0.7500  2 Si 1.90
C6 0.5715 0.4285 0.2500  2 Si 1.90
C7 0.7347 0.2653 0.6170  1 Si 1.84
C8 0.7347 0.2653 0.8830  1 Si 1.84

***

[6]
Entry from the Alexandria database: an optimized crystal structure of Pu2Si2Tc2C (PBE).

Results
Raw formation energy: -0.420 eV/atom

Cell lengths 5.8777, 5.8777, 7.0715 Å; angles 125.51, 125.51, 38.87 degrees
Last column: nearest neighbours and their distance in Å.
Fractional positions:
Pu1 0.0734 0.0734 0.2987  2 C 2.61
Pu2 0.9266 0.9266 0.7013  2 C 2.61
Si1 0.3613 0.3613 0.3197  3 Tc 2.46-2.49, 1 Si 2.51
Si2 0.6387 0.6387 0.6803  3 Tc 2.46-2.49, 1 Si 2.51
Tc1 0.2960 0.2960 0.9144  1 C 1.95
Tc2 0.7040 0.7040 0.0856  1 C 1.95
C1 0.5000 0.5000 0.0000  2 Tc 1.95

***

[7]
Entry from the Alexandria database: an optimized crystal structure of PuSiTc2C (PBE).

Results
Raw formation energy: -0.337 eV/atom

Cell lengths 6.0275, 6.0275, 7.6043 Å; angles 90.00, 90.00, 146.13 degrees
Last column: nearest neighbours and their distance in Å.
Fractional positions:
Pu1 0.0406 0.9594 0.7500  4 C 2.63
Pu2 0.9594 0.0406 0.2500  4 C 2.63
Si1 0.2419 0.7581 0.2500  6 Tc 2.47-2.56
Si2 0.7581 0.2419 0.7500  6 Tc 2.47-2.56
Tc1 0.3358 0.6642 0.5550  1 C 1.94
Tc2 0.3358 0.6642 0.9450  1 C 1.94
Tc3 0.6642 0.3358 0.0550  1 C 1.94
Tc4 0.6642 0.3358 0.4450  1 C 1.94
C1 0.5000 0.5000 0.0000  2 Tc 1.94
C2 0.5000 0.5000 0.5000  2 Tc 1.94

***

[8]
Entry from the Alexandria database: an optimized crystal structure of SmPuC (PBE).

Results
ΔE to the lowest computed polymorph: 0.0 meV per atom

Cell lengths 3.4993, 3.4993, 6.4172 Å; angles 90.00, 90.00, 120.00 degrees
Last column: nearest neighbours and their distance in Å.
Fractional positions:
Sm1 0.0000 0.0000 0.0000  3 C 2.53
Pu1 0.3333 0.6667 0.5540  3 C 2.42
C1 0.6667 0.3333 0.7617  3 Pu 2.42, 3 Sm 2.53

***

Number 1: uncorrected energy -37.78 eV for the cell shown, volume 89 Å³ per cell. Number 2: uncorrected energy -112.15 eV for the cell shown, volume 161 Å³ per cell. Number 3: uncorrected energy -35.89 eV for the cell shown, volume 67 Å³ per cell. Number 4: uncorrected energy -28.86 eV for the cell shown, volume 42 Å³ per cell. Number 5: uncorrected energy -164.39 eV for the cell shown, volume 194 Å³ per cell. Number 6: uncorrected energy -72.40 eV for the cell shown, volume 121 Å³ per cell. Number 7: uncorrected energy -102.80 eV for the cell shown, volume 154 Å³ per cell. Number 8: uncorrected energy -28.32 eV for the cell shown, volume 68 Å³ per cell.